# CsCa3Tl (GGA-PBEsol, optimized geometry)
# Energy of formation in meV/atom: 915
# Final energy in eV/atom: -1.079
data_CsCa3Tl
_chemical_formula_sum 'Cs1 Ca3 Tl1'
_symmetry_space_group_name_H-M 'P m -3 m'
_symmetry_Int_Tables_number 221
_symmetry_space_group_name_Hall '-P 4 2 3'
_cell_length_a 5.697
_cell_length_b 5.697
_cell_length_c 5.697
_cell_angle_alpha 90.00
_cell_angle_beta 90.00
_cell_angle_gamma 90.00
loop_
_atom_site_label
_atom_site_fract_x
_atom_site_fract_y
_atom_site_fract_z
Cs1 0.000 0.000 0.000
Ca1 0.000 0.000 0.500
Tl1 0.500 0.500 0.500